A plane-wave DFT calculation with PBE with a Hubbard U was carried out for crystalline MnZnO2 at its relaxed geometry.

Output
The total energy comes out at -6.166 eV per atom.

Structure (extended XYZ):
```
8
Lattice="-2.312 4.787 2.334 -2.182 -1.111 -2.287 -3.178 -2.404 4.197" Properties=species:S:1:pos:R:3 pbc="T T T"
Zn -1.133 0.080 0.554
O -2.504 -0.180 1.987
O -5.267 -1.926 3.015
Mn -3.589 1.599 2.161
O -5.006 1.272 3.668
Zn -6.287 -0.197 3.150
Mn -3.802 -1.750 1.535
O -4.531 2.087 0.368
```